(1)
! Fe3SiAu | Alexandria | PBE | optimized geometry; values from VASP
! N(E_F) (states/eV/cell): 10.116
! Crystal system: cubic
! Magnetic moment (μB per formula unit): 6.9
! Offset from the most stable computed form (meV per atom): 0
! Formation energy from raw total energies (eV per atom): 0.618
&SYSTEM
  ibrav = 0, nat = 5, ntyp = 3
/
ATOMIC_SPECIES
Fe 55.84 Fe.upf
Si 28.09 Si.upf
Au 196.97 Au.upf
CELL_PARAMETERS angstrom
4.257 0.000 0.000
0.000 4.257 0.000
0.000 0.000 4.257
ATOMIC_POSITIONS angstrom
Fe 0.000 0.000 2.128
Fe 0.000 2.128 0.000
Fe 2.128 0.000 0.000
Si 0.000 0.000 0.000
Au 2.128 2.128 2.128

(2)
! FeSiAu2 | Alexandria | PBE | optimized geometry; values from VASP
! N(E_F) (states/eV/cell): 2.861
! Crystal system: tetragonal
! Magnetic moment (μB per formula unit): 2.9
! Formation energy from raw total energies (eV per atom): 0.210
&SYSTEM
  ibrav = 0, nat = 4, ntyp = 3
/
ATOMIC_SPECIES
Fe 55.84 Fe.upf
Si 28.09 Si.upf
Au 196.97 Au.upf
CELL_PARAMETERS angstrom
4.017 0.000 0.000
0.000 4.017 0.000
0.000 0.000 3.911
ATOMIC_POSITIONS angstrom
Fe 0.000 0.000 0.000
Si 2.009 2.009 0.000
Au 0.000 2.009 1.956
Au 2.009 0.000 1.956

(3)
! Fe2SiAu | Alexandria | PBE | optimized geometry; values from VASP
! N(E_F) (states/eV/cell): 3.245
! Crystal system: cubic
! Magnetic moment (μB per formula unit): 4.8
! Formation energy from raw total energies (eV per atom): 0.140
&SYSTEM
  ibrav = 0, nat = 4, ntyp = 3
/
ATOMIC_SPECIES
Fe 55.84 Fe.upf
Si 28.09 Si.upf
Au 196.97 Au.upf
CELL_PARAMETERS angstrom
0.000 2.998 2.998
2.998 0.000 2.998
2.998 2.998 0.000
ATOMIC_POSITIONS angstrom
Fe 0.000 0.000 0.000
Fe 1.499 1.499 1.499
Si 2.998 2.998 2.998
Au 4.498 4.498 4.498

(4)
! FeSiAu2 | Alexandria | PBE | optimized geometry; values from VASP
! N(E_F) (states/eV/cell): 3.923
! Crystal system: trigonal
! Magnetic moment (μB per formula unit): 2.2
! Formation energy from raw total energies (eV per atom): 0.111
&SYSTEM
  ibrav = 0, nat = 4, ntyp = 3
/
ATOMIC_SPECIES
Fe 55.84 Fe.upf
Si 28.09 Si.upf
Au 196.97 Au.upf
CELL_PARAMETERS angstrom
1.459 0.843 8.439
-1.459 0.843 8.439
0.000 -1.685 8.439
ATOMIC_POSITIONS angstrom
Fe 0.000 0.000 0.000
Si 0.000 0.000 18.566
Au 0.000 0.000 6.302
Au 0.000 0.000 12.228